## Na3MgPCO7 (PBE-GGA)

Data for crystalline Na3MgPCO7 at its relaxed geometry.

The total energy is -0.4690 Ry per atom. The calculation puts the magnetization at 0.00 μB per formula unit. The calculation puts the raw formation energy at -28.07 eV/f.u. The distance to the lowest polymorph of the same formula comes out at 0 meV/atom. The density comes out at 2.64 g/cm³.

a = 5.232 Å, b = 6.708 Å, c = 8.898 Å
α = 90.00°, β = 90.73°, γ = 90.00°
Atoms (fractional coordinates):
Na1 0.237 0.250 0.082
Na2 0.253 0.507 0.733
Na3 0.253 0.993 0.733
Na4 0.747 0.007 0.267
Na5 0.747 0.493 0.267
Na6 0.763 0.750 0.918
Mg1 0.217 0.750 0.354
Mg2 0.783 0.250 0.646
P1 0.289 0.250 0.416
P2 0.711 0.750 0.584
C1 0.271 0.750 0.064
C2 0.729 0.250 0.936
O1 0.046 0.750 0.125
O2 0.146 0.250 0.568
O3 0.219 0.063 0.320
O4 0.219 0.437 0.320
O5 0.297 0.750 0.920
O6 0.417 0.750 0.551
O7 0.471 0.750 0.154
O8 0.529 0.250 0.846
O9 0.583 0.250 0.449
O10 0.703 0.250 0.080
O11 0.781 0.563 0.680
O12 0.781 0.937 0.680
O13 0.854 0.750 0.432
O14 0.954 0.250 0.875


## TlRe2Rh (PBE-GGA)

Data for crystalline TlRe2Rh at its relaxed geometry.

The total energy is -0.5886 Ry per atom. The calculation puts the magnetization at 0.00 μB per formula unit. Its formation energy is 0.645 eV per atom. The distance to the lowest polymorph of the same formula comes out at 318 meV/atom. The density comes out at 17.01 g/cm³.

a = 9.490 Å, b = 9.490 Å, c = 9.490 Å
α = 17.35°, β = 17.35°, γ = 17.35°
Atoms (fractional coordinates):
Tl1 0.000 0.000 0.000
Re1 0.243 0.243 0.243
Re2 0.757 0.757 0.757
Rh1 0.500 0.500 0.500


## Na2DySn3Se6 (PBE-GGA)

Data for crystalline Na2DySn3Se6 at its relaxed geometry.

The total energy is -0.3126 Ry per atom. The calculation puts the magnetization at 0.00 μB per formula unit. The calculation puts the raw formation energy at -10.88 eV/f.u. The density comes out at 5.37 g/cm³.

a = 7.302 Å, b = 7.302 Å, c = 7.371 Å
α = 99.47°, β = 99.47°, γ = 120.02°
Atoms (fractional coordinates):
Na1 0.167 0.833 0.000
Na2 0.833 0.167 0.000
Dy1 0.500 0.500 0.000
Sn1 0.000 0.000 0.500
Sn2 0.337 0.663 0.500
Sn3 0.663 0.337 0.500
Se1 0.102 0.415 0.756
Se2 0.268 0.268 0.255
Se3 0.415 0.102 0.756
Se4 0.585 0.898 0.244
Se5 0.732 0.732 0.745
Se6 0.898 0.585 0.244


The highest density belongs to which entry? TlRe2Rh